First-principles (PBE with a Hubbard U) data for CaFeCO4 after structural relaxation, as listed in the Alexandria database.

Space group = No. 74
Calculated total energy = -6.68 eV/atom
Total magnetization = 4.0 μB/f.u.

a = 5.8071 Å, b = 5.8071 Å, c = 5.8071 Å
α = 121.64°, β = 119.25°, γ = 89.24°
Fractional positions:
Ca 0.5000 0.0000 0.0000
Ca 0.5000 0.5000 0.5000
Fe 0.0000 0.0000 0.0000
Fe 0.5000 0.0000 0.5000
C 0.1141 0.3641 0.7500
C 0.8859 0.6359 0.2500
O 0.1732 0.7269 0.4463
O 0.2194 0.2731 0.9463
O 0.2250 0.2616 0.5366
O 0.2250 0.6884 0.9634
O 0.7750 0.3116 0.0366
O 0.7750 0.7384 0.4634
O 0.7806 0.7269 0.0537
O 0.8268 0.2731 0.5537